Computed, not measured: Li after structural relaxation at the PBE-GGA level of DFT.

Its calculated total energy is -1.8907 eV/atom. The value obtained for the formation enthalpy at 0 K is 0.023 eV per atom. Its crystal system is orthorhombic.

The space group is Fddd (No. 70, origin choice 2) and the conventional cell measures 3.001, 5.326 and 10.052 Å, with angles of 90.00, 90.00 and 90.00 degrees. The asymmetric unit holds Li at (0.125, 0.125, 0.125).

Computed, not measured: Li after structural relaxation at the PBE-GGA level of DFT.

Its calculated total energy is -1.8603 eV/atom. The value obtained for the formation enthalpy at 0 K is 0.054 eV per atom. Its crystal system is orthorhombic.

The space group is Cmce (No. 64) and the conventional cell measures 15.188, 5.848 and 5.470 Å, with angles of 90.00, 90.00 and 90.00 degrees. The asymmetric unit holds Li at (0.000, 0.250, 0.008) and Li at (0.160, 0.085, 0.250).

Computed, not measured: Li after structural relaxation at the PBE-GGA level of DFT.

Its calculated total energy is -1.8954 eV/atom. The value obtained for the formation enthalpy at 0 K is 0.018 eV per atom. Its crystal system is cubic.

The space group is Im-3m (No. 229) and the conventional cell measures 3.431, 3.431 and 3.431 Å, with angles of 90.00, 90.00 and 90.00 degrees. The asymmetric unit holds Li at (0.000, 0.000, 0.000).

Computed, not measured: Li after structural relaxation at the PBE-GGA level of DFT.

Its calculated total energy is -1.3702 eV/atom. The value obtained for the formation enthalpy at 0 K is 0.544 eV per atom. Its crystal system is cubic.

The space group is I-43m (No. 217) and the conventional cell measures 8.887, 8.887 and 8.887 Å, with angles of 90.00, 90.00 and 90.00 degrees. The asymmetric unit holds Li at (0.111, 0.111, 0.889) and Li at (0.200, 0.200, 0.200).

Computed, not measured: Li after structural relaxation at the PBE-GGA level of DFT.

Its calculated total energy is -1.9058 eV/atom. The value obtained for the formation enthalpy at 0 K is 0.008 eV per atom. Its crystal system is triclinic.

The space group is P1 (No. 1) and the conventional cell measures 3.059, 3.069 and 9.961 Å, with angles of 90.73, 98.20 and 119.18 degrees. The asymmetric unit holds Li at (0.000, 0.000, 0.000), Li at (0.168, 0.573, 0.750), Li at (0.653, 0.850, 0.500) and Li at (0.826, 0.428, 0.250).

Computed, not measured: Li after structural relaxation at the PBE-GGA level of DFT.

Its calculated total energy is -1.8340 eV/atom. The value obtained for the formation enthalpy at 0 K is 0.080 eV per atom. Its crystal system is tetragonal.

The space group is I4_1/amd (No. 141, origin choice 2) and the conventional cell measures 5.273, 5.273 and 2.905 Å, with angles of 90.00, 90.00 and 90.00 degrees. The asymmetric unit holds Li at (0.000, 0.250, 0.375).

Computed, not measured: Li after structural relaxation at the PBE-GGA level of DFT.

Its calculated total energy is -1.9060 eV/atom. The value obtained for the formation enthalpy at 0 K is 0.008 eV per atom. Its crystal system is hexagonal.

The space group is P6_3/mmc (No. 194) and the conventional cell measures 3.0720, 3.0720 and 9.8279 Å, with angles of 90.00, 90.00 and 120.00 degrees. The asymmetric unit holds Li at (0.0000, 0.0000, 0.0000) and Li at (0.3333, 0.6667, 0.2500).

Computed, not measured: Li after structural relaxation at the PBE-GGA level of DFT.

Its calculated total energy is -1.9052 eV/atom. The value obtained for the formation enthalpy at 0 K is 0.009 eV per atom. Its crystal system is hexagonal.

The space group is P6_3/mmc (No. 194) and the conventional cell measures 3.0568, 3.0568 and 4.9693 Å, with angles of 90.00, 90.00 and 120.00 degrees. The asymmetric unit holds Li at (0.3333, 0.6667, 0.2500).

Computed, not measured: Li after structural relaxation at the PBE-GGA level of DFT.

Its calculated total energy is -1.2968 eV/atom. The value obtained for the formation enthalpy at 0 K is 0.617 eV per atom. Its crystal system is cubic.

The space group is Im-3m (No. 229) and the conventional cell measures 7.888, 7.888 and 7.888 Å, with angles of 90.00, 90.00 and 90.00 degrees. The asymmetric unit holds Li at (0.000, 0.250, 0.500).

Computed, not measured: Li after structural relaxation at the PBE-GGA level of DFT.

Its calculated total energy is -1.6472 eV/atom. The value obtained for the formation enthalpy at 0 K is 0.267 eV per atom. Its crystal system is cubic.

The space group is P4_132 (No. 213) and the conventional cell measures 4.458, 4.458 and 4.458 Å, with angles of 90.00, 90.00 and 90.00 degrees. The asymmetric unit holds Li at (0.125, 0.375, 0.625).

Computed, not measured: Li after structural relaxation at the PBE-GGA level of DFT.

Its calculated total energy is -1.9138 eV/atom. The value obtained for the formation enthalpy at 0 K is 0.000 eV per atom. Its crystal system is trigonal.

The space group is R-3m (No. 166, hexagonal axes) and the conventional cell measures 3.0235, 3.0235 and 22.8585 Å, with angles of 90.00, 90.00 and 120.00 degrees. The asymmetric unit holds Li at (0.0000, 0.0000, 0.0000) and Li at (0.0000, 0.0000, 0.2223).

Computed, not measured: LiLu3 after structural relaxation at the PBE-GGA level of DFT.

Its calculated total energy is -3.6899 eV/atom. The value obtained for the formation enthalpy at 0 K is 0.179 eV per atom. Its crystal system is hexagonal.

The space group is P6_3/mmc (No. 194) and the conventional cell measures 6.8334, 6.8334 and 5.4241 Å, with angles of 90.00, 90.00 and 120.00 degrees. The asymmetric unit holds Li at (0.3333, 0.6667, 0.2500) and Lu at (0.1675, 0.3350, 0.7500).